P | Here is an optimized crystal structure of Na3MnS4 from Alexandria. Energies are from PBE.

Calculated values
Its space-group type is No. 215. The total magnetization is 2.001 Bohr magnetons per cell. As for the crystal system: cubic.

Unit cell a=5.9862 b=5.9862 c=5.9862 alpha=90.00 beta=90.00 gamma=90.00
Last column: nearest neighbours and their distance in Å.
Fractional positions:
Na 0.0000 0.0000 0.5000  4 S 2.79
Na 0.0000 0.5000 0.0000  4 S 2.79
Na 0.5000 0.0000 0.0000  4 S 2.79
Mn 0.5000 0.5000 0.5000  4 S 2.12
S 0.2956 0.2956 0.7044  1 Mn 2.12
S 0.2956 0.7044 0.2956  1 Mn 2.12
S 0.7044 0.2956 0.2956  1 Mn 2.12
S 0.7044 0.7044 0.7044  1 Mn 2.12

=====

Q | Here is an optimized crystal structure of Na3MnS4 from Alexandria. Energies are from PBE.

Calculated values
Its space-group type is No. 65. The total magnetization is 2.295 Bohr magnetons per cell. As for the crystal system: orthorhombic.

Unit cell a=6.8917 b=6.8917 c=3.4457 alpha=90.00 beta=90.00 gamma=103.70
Last column: nearest neighbours and their distance in Å.
Fractional positions:
Na 0.0000 0.0000 0.0000  6 S 3.04-3.14
Na 0.0000 0.5000 0.5000  6 S 2.75-2.76
Na 0.5000 0.0000 0.5000  6 S 2.75-2.76
Mn 0.5000 0.5000 0.0000  6 S 2.38
S 0.2805 0.7195 0.0000  1 Mn 2.38
S 0.3077 0.3077 0.5000  2 Mn 2.38
S 0.6923 0.6923 0.5000  2 Mn 2.38
S 0.7195 0.2805 0.0000  1 Mn 2.38

=====

Most stable: P. Least stable: Q.

=====

P | Here is an optimized crystal structure of NaMn2Sb2 from Alexandria. Energies are from PBE.

Calculated values
Its space-group type is No. 127. The total magnetization is 13.541 Bohr magnetons per cell. As for the crystal system: tetragonal.

Unit cell a=7.9695 b=7.9695 c=3.2724 alpha=90.00 beta=90.00 gamma=90.00
Last column: nearest neighbours and their distance in Å.
Fractional positions:
Na 0.0000 0.0000 0.0000  4 Mn 3.18, 2 Na 3.27, 8 Sb 3.38
Na 0.5000 0.5000 0.0000  4 Mn 3.18, 2 Na 3.27, 8 Sb 3.38
Mn 0.1184 0.3816 0.0000  1 Mn 2.67, 6 Sb 2.84-2.90
Mn 0.3816 0.8816 0.0000  1 Mn 2.67, 6 Sb 2.84-2.90
Mn 0.6184 0.1184 0.0000  1 Mn 2.67, 6 Sb 2.84-2.90
Mn 0.8816 0.6184 0.0000  1 Mn 2.67, 6 Sb 2.84-2.90
Sb 0.1690 0.6690 0.5000  6 Mn 2.84-2.90
Sb 0.3310 0.1690 0.5000  6 Mn 2.84-2.90
Sb 0.6690 0.8310 0.5000  6 Mn 2.84-2.90
Sb 0.8310 0.3310 0.5000  6 Mn 2.84-2.90

=====

Q | Here is an optimized crystal structure of NaMn2Sb2 from Alexandria. Energies are from PBE.

Calculated values
Its space-group type is No. 139. The total magnetization is 6.756 Bohr magnetons per cell. As for the crystal system: tetragonal.

Unit cell a=6.9209 b=6.9209 c=6.9209 alpha=143.08 beta=143.08 gamma=53.21
Last column: nearest neighbours and their distance in Å.
Fractional positions:
Na 0.0000 0.0000 0.0000  8 Sb 3.48, 8 Mn 3.79
Mn 0.2500 0.7500 0.5000  4 Sb 2.66
Mn 0.7500 0.2500 0.5000  4 Sb 2.66
Sb 0.3720 0.3720 0.0000  4 Mn 2.66
Sb 0.6280 0.6280 0.0000  4 Mn 2.66

=====

Most stable: Q. Least stable: P.

=====

P | Here is an optimized crystal structure of NaScMn2 from Alexandria. Energies are from PBE.

Calculated values
Its space-group type is No. 122. The total magnetization is 2.714 Bohr magnetons per cell. As for the crystal system: tetragonal.

Unit cell a=9.8352 b=9.8352 c=9.8352 alpha=157.53 beta=157.53 gamma=31.99
Last column: nearest neighbours and their distance in Å.
Fractional positions:
Na 0.0000 0.0000 0.0000  4 Sc 2.71, 4 Mn 2.87
Na 0.7500 0.2500 0.5000  4 Sc 2.71, 4 Mn 2.87
Sc 0.2500 0.7500 0.5000  4 Mn 2.62, 4 Na 2.71
Sc 0.5000 0.5000 0.0000  4 Mn 2.62, 4 Na 2.71
Mn 0.2166 0.1250 0.5916  2 Mn 2.27
Mn 0.3750 0.7834 0.9084  2 Mn 2.27
Mn 0.5334 0.6250 0.4084  2 Mn 2.27
Mn 0.8750 0.4666 0.0916  2 Mn 2.27

=====

Q | Here is an optimized crystal structure of NaScMn2 from Alexandria. Energies are from PBE.

Calculated values
Its space-group type is No. 225. The total magnetization is 6.846 Bohr magnetons per cell. As for the crystal system: cubic.

Unit cell a=4.7928 b=4.7928 c=4.7928 alpha=60.00 beta=60.00 gamma=60.00
Last column: nearest neighbours and their distance in Å.
Fractional positions:
Na 0.0000 0.0000 0.0000  8 Mn 2.93
Sc 0.5000 0.5000 0.5000  8 Mn 2.93
Mn 0.2500 0.2500 0.2500  4 Sc 2.93, 4 Na 2.93
Mn 0.7500 0.7500 0.7500  4 Sc 2.93, 4 Na 2.93

=====

Most stable: Q. Least stable: P.

=====

P | Here is an optimized crystal structure of NaSc2Mn from Alexandria. Energies are from PBE.

Calculated values
Its space-group type is No. 166. The total magnetization is 0.000 Bohr magnetons per cell. As for the crystal system: trigonal.

Unit cell a=10.4892 b=10.4892 c=10.4892 alpha=17.57 beta=17.57 gamma=17.57
Last column: nearest neighbours and their distance in Å.
Fractional positions:
Na 0.0000 0.0000 0.0000  6 Na 3.20, 2 Sc 3.36
Sc 0.1085 0.1085 0.1085  3 Mn 2.58
Sc 0.8915 0.8915 0.8915  3 Mn 2.58
Mn 0.5000 0.5000 0.5000  6 Sc 2.58

=====

Q | Here is an optimized crystal structure of NaSc2Mn from Alexandria. Energies are from PBE.

Calculated values
Its space-group type is No. 227. The total magnetization is 0.000 Bohr magnetons per cell. As for the crystal system: cubic.

Unit cell a=7.1735 b=7.1735 c=7.1735 alpha=60.00 beta=60.00 gamma=60.00
Last column: nearest neighbours and their distance in Å.
Fractional positions:
Na 0.1250 0.1250 0.1250  12 Sc 4.21, 4 Na 4.39, 4 Mn 4.39
Na 0.8750 0.8750 0.8750  12 Sc 4.21, 4 Na 4.39, 4 Mn 4.39
Sc 0.0000 0.5000 0.5000  2 Mn 2.20
Sc 0.5000 0.0000 0.5000  2 Mn 2.20
Sc 0.5000 0.5000 0.0000  2 Mn 2.20
Sc 0.5000 0.5000 0.5000  2 Mn 2.20
Mn 0.3750 0.3750 0.3750  4 Sc 2.20
Mn 0.6250 0.6250 0.6250  4 Sc 2.20

=====

Most stable: P. Least stable: Q.

=====

P | Here is an optimized crystal structure of Na2ScMn from Alexandria. Energies are from PBE.

Calculated values
Its space-group type is No. 225. The total magnetization is 0.000 Bohr magnetons per cell. As for the crystal system: cubic.

Unit cell a=4.9139 b=4.9139 c=4.9139 alpha=60.00 beta=60.00 gamma=60.00
Last column: nearest neighbours and their distance in Å.
Fractional positions:
Na 0.2500 0.2500 0.2500  4 Mn 3.01, 4 Sc 3.01
Na 0.7500 0.7500 0.7500  4 Mn 3.01, 4 Sc 3.01
Sc 0.0000 0.0000 0.0000  8 Na 3.01
Mn 0.5000 0.5000 0.5000  8 Na 3.01

=====

Q | Here is an optimized crystal structure of Na2ScMn from Alexandria. Energies are from PBE.

Calculated values
Its space-group type is No. 122. The total magnetization is 5.627 Bohr magnetons per cell. As for the crystal system: tetragonal.

Unit cell a=12.3486 b=12.3486 c=12.3486 alpha=161.40 beta=161.40 gamma=26.42
Last column: nearest neighbours and their distance in Å.
Fractional positions:
Na 0.1126 0.6250 0.9876  4 Na 2.75-2.89
Na 0.3750 0.3626 0.4876  4 Na 2.75-2.89
Na 0.6374 0.1250 0.0124  4 Na 2.75-2.89
Na 0.8750 0.8874 0.5124  4 Na 2.75-2.89
Sc 0.2500 0.7500 0.5000  4 Mn 2.82
Sc 0.5000 0.5000 0.0000  4 Mn 2.82
Mn 0.0000 0.0000 0.0000  4 Sc 2.82
Mn 0.7500 0.2500 0.5000  4 Sc 2.82

=====

Most stable: Q. Least stable: P.

=====

P | Here is an optimized crystal structure of Na3MnSe from Alexandria. Energies are from PBE.

Calculated values
Its space-group type is No. 221. The total magnetization is 4.359 Bohr magnetons per cell. As for the crystal system: cubic.

Unit cell a=5.5437 b=5.5437 c=5.5437 alpha=90.00 beta=90.00 gamma=90.00
Last column: nearest neighbours and their distance in Å.
Fractional positions:
Na 0.0000 0.0000 0.5000  2 Se 2.77
Na 0.0000 0.5000 0.0000  2 Se 2.77
Na 0.5000 0.0000 0.0000  2 Se 2.77
Mn 0.5000 0.5000 0.5000  12 Na 3.92
Se 0.0000 0.0000 0.0000  6 Na 2.77

=====

Q | Here is an optimized crystal structure of Na3MnSe from Alexandria. Energies are from PBE.

Calculated values
Its space-group type is No. 221. The total magnetization is 4.125 Bohr magnetons per cell. As for the crystal system: cubic.

Unit cell a=5.4943 b=5.4943 c=5.4943 alpha=90.00 beta=90.00 gamma=90.00
Last column: nearest neighbours and their distance in Å.
Fractional positions:
Na 0.0000 0.0000 0.5000  2 Mn 2.75
Na 0.0000 0.5000 0.0000  2 Mn 2.75
Na 0.5000 0.0000 0.0000  2 Mn 2.75
Mn 0.0000 0.0000 0.0000  6 Na 2.75
Se 0.5000 0.5000 0.5000  12 Na 3.89

=====

Most stable: P. Least stable: Q.

=====

P | Here is an optimized crystal structure of NaMn2Se2 from Alexandria. Energies are from PBE.

Calculated values
Its space-group type is No. 139. The total magnetization is 3.923 Bohr magnetons per cell. As for the crystal system: tetragonal.

Unit cell a=7.3955 b=7.3955 c=7.3955 alpha=151.31 beta=151.31 gamma=41.02
Last column: nearest neighbours and their distance in Å.
Fractional positions:
Na 0.0000 0.0000 0.0000  8 Se 3.19
Mn 0.2500 0.7500 0.5000  4 Se 2.43, 4 Mn 2.59
Mn 0.7500 0.2500 0.5000  4 Se 2.43, 4 Mn 2.59
Se 0.3655 0.3655 0.0000  4 Mn 2.43
Se 0.6345 0.6345 0.0000  4 Mn 2.43

=====

Q | Here is an optimized crystal structure of NaMn2Se2 from Alexandria. Energies are from PBE.

Calculated values
Its space-group type is No. 139. The total magnetization is 4.843 Bohr magnetons per cell. As for the crystal system: tetragonal.

Unit cell a=5.2795 b=5.2795 c=5.2795 alpha=126.66 beta=126.66 gamma=78.81
Last column: nearest neighbours and their distance in Å.
Fractional positions:
Na 0.0000 0.0000 0.0000  2 Mn 2.97, 8 Se 3.13
Mn 0.3644 0.3644 0.0000  1 Mn 2.21
Mn 0.6356 0.6356 0.0000  1 Mn 2.21
Se 0.2500 0.7500 0.5000  4 Mn 2.55
Se 0.7500 0.2500 0.5000  4 Mn 2.55

=====

Most stable: P. Least stable: Q.

=====

P | Here is an optimized crystal structure of NaMn2Se4 from Alexandria. Energies are from PBE.

Calculated values
Its space-group type is No. 63. The total magnetization is 14.010 Bohr magnetons per cell. As for the crystal system: orthorhombic.

Unit cell a=6.5130 b=6.5130 c=12.6751 alpha=90.00 beta=90.00 gamma=146.80
Last column: nearest neighbours and their distance in Å.
Fractional positions:
Na 0.1063 0.8937 0.7500  6 Se 2.87-3.04
Na 0.8937 0.1063 0.2500  6 Se 2.87-3.04
Mn 0.3631 0.6369 0.5679  6 Se 2.46-2.67
Mn 0.3631 0.6369 0.9321  6 Se 2.46-2.67
Mn 0.6369 0.3631 0.0679  6 Se 2.46-2.67
Mn 0.6369 0.3631 0.4321  6 Se 2.46-2.67
Se 0.0000 0.0000 0.0000  4 Mn 2.67
Se 0.0000 0.0000 0.5000  4 Mn 2.67
Se 0.2672 0.7328 0.1071  3 Mn 2.52
Se 0.2672 0.7328 0.3929  3 Mn 2.52
Se 0.4312 0.5688 0.7500  2 Mn 2.46
Se 0.5688 0.4312 0.2500  2 Mn 2.46
Se 0.7328 0.2672 0.6071  3 Mn 2.52
Se 0.7328 0.2672 0.8929  3 Mn 2.52

=====

Q | Here is an optimized crystal structure of NaMn2Se4 from Alexandria. Energies are from PBE.

Calculated values
Its space-group type is No. 166. The total magnetization is 7.024 Bohr magnetons per cell. As for the crystal system: trigonal.

Unit cell a=12.5783 b=12.5783 c=12.5783 alpha=16.93 beta=16.93 gamma=16.93
Last column: nearest neighbours and their distance in Å.
Fractional positions:
Na 0.0000 0.0000 0.0000  6 Se 2.99
Mn 0.4281 0.4281 0.4281  6 Se 2.54-2.57
Mn 0.5719 0.5719 0.5719  6 Se 2.54-2.57
Se 0.1317 0.1317 0.1317  3 Mn 2.54
Se 0.2770 0.2770 0.2770  3 Mn 2.57
Se 0.7230 0.7230 0.7230  3 Mn 2.57
Se 0.8683 0.8683 0.8683  3 Mn 2.54

=====

Most stable: Q. Least stable: P.